Density functional theory data (PBE-GGA) for an optimized crystal structure of SbC3N.

Values from the calculation:
- Offset from the most stable computed form: 0 meV per atom
- ΔE_f (raw): 1510 kJ/mol of formula units

a = 3.6442 Å, b = 3.6442 Å, c = 3.6442 Å
α = 90.00°, β = 90.00°, γ = 90.00°
Space group Pm-3m (No. 221)
Symmetry-distinct sites (fractional):
Sb (0.0000, 0.0000, 0.0000) (multiplicity 1)
C (0.0000, 0.5000, 0.5000) (multiplicity 3)
N (0.5000, 0.5000, 0.5000) (multiplicity 1)